DFT (PBE-GGA) results for a relaxed Nd5Sb5H2 crystal.

## Properties
For the spin magnetization, the calculation gives 0.000 μB per atom. The total energy comes out at -5.0149 eV/atom.

Cell lengths 7.8368, 7.8368, 12.0940 Å; angles 119.54, 119.54, 32.17 degrees
Sites, in units of the cell vectors:
Nd: 0.0000 0.0000 0.0000
Nd: 0.0993 0.0993 0.4117
Nd: 0.3210 0.3210 0.2195
Nd: 0.6790 0.6790 0.7805
Nd: 0.9007 0.9007 0.5883
Sb: 0.3103 0.3103 0.7011
Sb: 0.3409 0.3409 0.9672
Sb: 0.5000 0.5000 0.5000
Sb: 0.6591 0.6591 0.0328
Sb: 0.6897 0.6897 0.2989
H: 0.0788 0.0788 0.7546
H: 0.9212 0.9212 0.2454